First-principles (GGA-PBE) data for a relaxed V8Si2P crystal, as listed in Alexandria.

Total magnetic moment in μB/cell: 0.00
Fermi-level density of states in states/eV/cell: 7.74
Formation energy from raw total energies in meV per atom: -426
Final energy in eV/cell: -93.9

abc: 4.3109 4.6799 7.4389
angles: 95.20 106.84 90.00
Last column: nearest neighbours and their distance in Å.
Fractional coordinates of all 11 atoms:
V1 0.2313 0.3356 0.4626  2 Si 2.49-2.72, 7 V 2.50-2.69
V2 0.7687 0.6644 0.5374  2 Si 2.49-2.72, 7 V 2.50-2.69
V3 0.0418 0.2519 0.0836  2 P 2.50, 5 V 2.54-2.71, 2 Si 2.73-2.80
V4 0.6730 0.0846 0.3461  1 P 2.46, 4 V 2.49-2.56, 3 Si 2.53-2.57
V5 0.5873 0.5253 0.1746  5 V 2.47-2.60, 2 Si 2.60, 2 P 2.65
V6 0.9582 0.7481 0.9164  2 P 2.50, 5 V 2.54-2.71, 2 Si 2.73-2.80
V7 0.3270 0.9154 0.6539  1 P 2.46, 4 V 2.49-2.56, 3 Si 2.53-2.57
V8 0.4127 0.4747 0.8254  5 V 2.47-2.60, 2 Si 2.60, 2 P 2.65
P1 0.5000 0.0000 0.0000  10 V 2.46-2.65
Si1 0.1507 0.7854 0.3015  8 V 2.49-2.73
Si2 0.8493 0.2146 0.6985  8 V 2.49-2.73